Li4Cr2TeWO12 | PBE with a Hubbard U | optimized geometry

a b c (Å): 5.0936 5.3547 7.3840
angles (deg): 86.21 89.95 89.84
With the nearest neighbours (Å) after each atom.
Fractional coordinates of all 20 atoms:
1 Li 0.5018 0.9270 0.7154  4 O 2.00-2.23
2 W 0.9960 0.9968 0.9958  6 O 1.89-2.03
3 O 0.3707 0.5173 0.7513  1 Cr 1.95, 1 Te 1.97, 1 Li 2.00
4 O 0.6974 0.1980 0.5736  1 Te 1.94, 1 Cr 1.98, 1 Li 2.00
5 O 0.1951 0.7025 0.0660  1 W 1.91, 1 Cr 1.98, 1 Li 2.01
6 O 0.3157 0.8232 0.4441  1 Cr 1.91, 1 Te 1.99, 1 Li 2.01
7 Cr 0.4957 0.4913 0.0014  6 O 1.85-2.01
8 Cr 0.0014 0.9993 0.4953  6 O 1.87-2.00
9 O 0.7982 0.6992 0.5752  1 Te 1.96, 1 Cr 1.97, 1 Li 1.99
10 O 0.3128 0.2001 0.0629  1 Cr 1.85, 1 Li 2.03, 1 W 2.03
11 O 0.8879 0.0139 0.2543  1 Cr 1.87, 1 W 1.99, 1 Li 2.03
12 O 0.6271 0.5223 0.2527  1 Te 1.94, 1 Li 1.98, 1 Cr 1.99
13 Te 0.5007 0.4993 0.5011  6 O 1.93-1.99
14 Li 0.5050 0.9269 0.2129  4 O 2.01-2.25
15 O 0.1173 0.0140 0.7520  1 W 1.90, 1 Cr 1.99, 1 Li 2.03
16 O 0.8151 0.3180 0.9504  1 Cr 1.92, 1 W 1.96, 1 Li 2.03
17 O 0.1823 0.3270 0.4437  1 Te 1.93, 1 Li 1.98, 1 Cr 2.00
18 O 0.6844 0.8186 0.9515  1 W 1.89, 1 Cr 2.01, 1 Li 2.03
19 Li 0.9952 0.4269 0.7137  3 O 1.99-2.03
20 Li 0.0001 0.4360 0.2154  3 O 1.98-2.01

## Properties
* total magnetization: 4.0 μB per formula unit
* energy: -126.848 eV per formula unit